VASP calculation (GGA-PBE) on a geometry-optimized BaSb2W structure.

Magnetization: 1.66 Bohr magnetons per cell
Uncorrected formation energy: 0.04 eV/atom

```
BaSb2W
1.0
4.3130 -0.1373 0.0815
2.2759 3.6663 0.0815
2.0491 1.0975 7.5188
Sb Ba W
2 1 1
direct
0.4766 0.4766 0.5705
0.0234 0.0234 0.9295
0.2500 0.2500 0.2500
0.7500 0.7500 0.7500
```